No. 1
DFT (PBE) results for crystalline BaGa2As at its relaxed geometry.

Cell: 4.967 4.680 9.227 Å, 90.00 104.52 90.00°
Positions (direct):
Ba1 0.155 0.500 0.194
Ba2 0.354 0.000 0.620
Ga1 0.525 0.500 0.908
Ga2 0.963 0.500 0.767
Ga3 0.703 0.500 0.479
Ga4 0.580 0.000 0.048
As1 0.013 0.000 0.914
As2 0.762 0.000 0.338

Computed properties:
final energy: -3.699 eV/atom
volume: 25.96 Å³ per atom
ΔE_f: -2.17 eV/f.u.

No. 2
DFT (PBE) results for crystalline BaGa2As2 at its relaxed geometry.

Cell: 5.007 5.007 5.967 Å, 65.19 65.19 90.00°
Positions (direct):
As1 0.750 0.250 0.500
As2 0.250 0.750 0.500
Ba1 0.000 0.000 0.000
Ga1 0.361 0.361 0.277
Ga2 0.639 0.639 0.723

Computed properties:
final energy: -3.989 eV/atom
volume: 24.08 Å³ per atom
ΔE_f: -2.67 eV/f.u.

No. 3
DFT (PBE) results for crystalline BaGa2As at its relaxed geometry.

Cell: 4.417 4.761 20.813 Å, 90.00 90.00 90.00°
Positions (direct):
Ba1 0.000 0.500 0.879
Ba2 0.500 0.000 0.379
Ba3 0.000 0.000 0.187
Ba4 0.500 0.500 0.687
Ga1 0.000 0.500 0.563
Ga2 0.500 0.000 0.063
Ga3 0.000 0.000 0.624
Ga4 0.500 0.500 0.124
Ga5 0.000 0.000 0.747
Ga6 0.500 0.500 0.247
Ga7 0.000 0.500 0.056
Ga8 0.500 0.000 0.556
As1 0.000 0.000 0.996
As2 0.500 0.500 0.496
As3 0.000 0.500 0.313
As4 0.500 0.000 0.813

Computed properties:
final energy: -3.704 eV/atom
volume: 27.36 Å³ per atom
ΔE_f: -2.19 eV/f.u.

No. 4
DFT (PBE) results for crystalline BaGaAs at its relaxed geometry.

Cell: 6.742 4.166 6.970 Å, 107.38 92.50 71.97°
Positions (direct):
As1 0.287 0.529 0.445
As2 0.752 0.092 0.034
Ba1 0.742 0.805 0.450
Ba2 0.297 0.816 0.029
Ga1 0.191 0.177 0.645
Ga2 0.847 0.444 0.834

Computed properties:
final energy: -3.965 eV/atom
volume: 29.56 Å³ per atom
E above lowest polymorph: 0 meV/atom
ΔE_f: -2.30 eV/f.u.

Question: Which formula does entry 3 have?
Answer: BaGa2As